A plane-wave DFT calculation with GGA-PBEsol was carried out for a relaxed structure of Li2Pt.

Computed properties:
Density = 8397 kg/m³
Relative energy among the computed polymorphs = 29 meV/atom
VASP energy = -36.8 eV per cell
Density of states at the Fermi level = 2.1 states/eV/cell
Energy of formation = -0.451 eV/atom

```
data_Li2Pt
_chemical_formula_sum 'Li6 Pt3'
_cell_length_a 7.3395
_cell_length_b 7.3395
_cell_length_c 2.6575
_cell_angle_alpha 90.00
_cell_angle_beta 90.00
_cell_angle_gamma 120.00
_space_group_name_H-M_alt 'P -6 2 m'
_space_group_IT_number 189
_space_group_name_Hall 'P -6 -2'
loop_
_atom_site_label
_atom_site_fract_x
_atom_site_fract_y
_atom_site_fract_z
_atom_site_occupancy
Li1 0.0000 0.3037 0.0000 1
Li2 0.0000 0.6355 0.5000 1
Pt1 0.0000 0.0000 0.5000 1
Pt2 0.3333 0.6667 0.0000 1
```